Density functional theory data (PBE) for crystalline NdTl2 at its relaxed geometry.

Values from the calculation:
Final energy: -3.32 eV per atom
Energy relative to the elements: -0.1539 eV per atom

Lattice parameters (Å, degrees): 6.267 6.267 6.267 60.00 60.00 60.00
Fractional positions:
Nd (0.125, 0.125, 0.125)
Nd (0.875, 0.875, 0.875)
Tl (0.000, 0.500, 0.500)
Tl (0.500, 0.000, 0.500)
Tl (0.500, 0.500, 0.000)
Tl (0.500, 0.500, 0.500)